Entry 1:
TaSnMo2Au PBE relaxed; energy = -31.69 eV/cell; formation energy = 1822 meV per atom
1.0
4.8875 0.0000 0.0000
0.0000 4.8875 0.0000
0.0000 0.0000 4.9121
Ta Sn Mo Au
1 1 2 1
Direct
0.0000 0.0000 0.0000
0.5000 0.5000 0.0000
0.0000 0.5000 0.5000
0.5000 0.0000 0.5000
0.0000 0.0000 0.5000

---

Entry 2:
TlSnMo2Au PBE relaxed; energy = -20.80 eV/cell; formation energy = 2102 meV per atom
1.0
5.2860 0.0000 0.0000
0.0000 5.2860 0.0000
0.0000 0.0000 5.4921
Tl Sn Mo Au
1 1 2 1
Direct
0.0000 0.0000 0.0000
0.0000 0.0000 0.5000
0.0000 0.5000 0.0000
0.5000 0.0000 0.0000
0.5000 0.5000 0.5000

---

Entry 3:
SrMoAu2 PBE relaxed; energy = -34.01 eV/cell; relative energy among the computed polymorphs = 10.86 kcal/mol of atoms; formation energy = 516 meV per atom
1.0
-2.6595 2.6595 8.3196
2.6595 -2.6595 8.3196
2.6595 2.6595 -8.3196
Sr Mo Au
2 2 4
Direct
0.0000 0.0000 0.0000
0.7500 0.2500 0.5000
0.2500 0.7500 0.5000
0.5000 0.5000 0.0000
0.2402 0.6250 0.1152
0.3750 0.4902 0.6152
0.5098 0.1250 0.8848
0.8750 0.7598 0.3848

---

Entry 4:
SrMoAu3 PBE relaxed; energy = -15.91 eV/cell; relative energy among the computed polymorphs = 24.63 kcal/mol of atoms; formation energy = 1288 meV per atom
1.0
5.6487 0.0000 0.0000
0.0000 5.6487 0.0000
0.0000 0.0000 5.6487
Sr Mo Au
1 1 3
Direct
0.0000 0.0000 0.0000
0.5000 0.5000 0.5000
0.0000 0.0000 0.5000
0.0000 0.5000 0.0000
0.5000 0.0000 0.0000

---

Entry 5:
SrMoAu PBE relaxed; energy = -14.24 eV/cell; relative energy among the computed polymorphs = 0.59 kcal/mol of atoms; formation energy = 516 meV per atom
1.0
-1.8193 1.8193 5.7215
1.8193 -1.8193 5.7215
1.8193 1.8193 -5.7215
Sr Mo Au
1 1 1
Direct
0.0000 0.0000 0.0000
0.2854 0.2854 0.0000
0.7059 0.7059 0.0000

---

Entry 6:
Sr4MoAu PBE relaxed; energy = -14.55 eV/cell; formation energy = 1047 meV per atom
1.0
0.0000 4.8693 4.8693
4.8693 0.0000 4.8693
4.8693 4.8693 0.0000
Sr Mo Au
4 1 1
Direct
0.1251 0.1251 0.1251
0.1251 0.1251 0.6246
0.1251 0.6246 0.1251
0.6246 0.1251 0.1251
0.5000 0.5000 0.5000
0.7500 0.7500 0.7500

---

energy of number 5 (SrMoAu)? -14.24 eV/cell

---

Copy entry 1 word for word.
TaSnMo2Au PBE relaxed; energy = -31.69 eV/cell; formation energy = 1822 meV per atom
1.0
4.8875 0.0000 0.0000
0.0000 4.8875 0.0000
0.0000 0.0000 4.9121
Ta Sn Mo Au
1 1 2 1
Direct
0.0000 0.0000 0.0000
0.5000 0.5000 0.0000
0.0000 0.5000 0.5000
0.5000 0.0000 0.5000
0.0000 0.0000 0.5000